A plane-wave DFT calculation with GGA-PBE was carried out for a relaxed La8Co2Re crystal.

a b c (Å): 7.254 8.237 7.254
angles (deg): 85.26 59.86 85.26
Fractional positions:
La1 0.599 0.133 0.124
La2 0.124 0.133 0.599
La3 0.915 0.686 0.915
La4 0.662 0.445 0.662
La5 0.085 0.314 0.085
La6 0.338 0.555 0.338
La7 0.401 0.867 0.876
La8 0.876 0.867 0.401
Re1 0.000 0.000 0.000
Co1 0.860 0.389 0.860
Co2 0.140 0.611 0.140

Results
As for the total moment: 0.00 μB per formula unit. The space-group type is C2/m, No. 12. Its formation energy is 0.1603 eV per atom. The total energy comes out at -64.32 eV per formula unit. The calculation puts the theoretical density at 6.30 g/cm3.